No. 1
# CeSi4Pd6

CeSi4Pd6 after structural relaxation (GGA-PBE, the Alexandria database).

Cell: 3.963 7.128 7.128 Å, 120.00 90.00 90.00°
Fractional positions:
Ce: 0.000 0.000 0.000
Si: 0.500 0.803 0.606
Si: 0.500 0.394 0.197
Si: 0.500 0.803 0.197
Si: 0.000 0.333 0.667
Pd: 0.000 0.534 0.068
Pd: 0.500 0.603 0.801
Pd: 0.000 0.534 0.466
Pd: 0.000 0.932 0.466
Pd: 0.500 0.199 0.801
Pd: 0.500 0.199 0.397

Summary:
Uncorrected energy   -6.10 eV/atom
Formation energy (no corrections)   -0.76 eV/atom
Calculated volume   15.85 Å³/atom
Space-group type   P-6m2
Spin magnetization   0.882 μB per cell

---

No. 2
# Ce3Si4Pd7

Ce3Si4Pd7 after structural relaxation (GGA-PBE, the Alexandria database).

Cell: 4.072 8.139 8.338 Å, 71.21 75.87 75.52°
Fractional positions:
Ce: 0.322 0.180 0.175
Ce: 0.678 0.820 0.825
Ce: 0.000 0.500 0.500
Si: 0.662 0.444 0.231
Si: 0.338 0.556 0.769
Si: 0.890 0.891 0.328
Si: 0.110 0.109 0.672
Pd: 0.307 0.852 0.534
Pd: 0.492 0.234 0.782
Pd: 0.832 0.412 0.925
Pd: 0.693 0.148 0.466
Pd: 0.168 0.588 0.075
Pd: 0.000 0.000 0.000
Pd: 0.508 0.766 0.218

Summary:
Uncorrected energy   -6.27 eV/atom
Formation energy (no corrections)   -0.85 eV/atom
Calculated volume   17.80 Å³/atom
Space-group type   C2/m
Spin magnetization   1.140 μB per cell

---

No. 3
# Ce5Si5Pd2

Ce5Si5Pd2 after structural relaxation (GGA-PBE, the Alexandria database).

Cell: 4.168 7.680 8.770 Å, 91.12 76.25 74.25°
Fractional positions:
Ce: 0.500 0.500 0.500
Ce: 0.411 0.283 0.895
Ce: 0.330 0.041 0.298
Ce: 0.670 0.959 0.702
Ce: 0.589 0.717 0.105
Si: 0.929 0.764 0.379
Si: 0.227 0.706 0.839
Si: 0.773 0.294 0.161
Si: 0.071 0.236 0.621
Si: 0.000 0.000 0.000
Pd: 0.845 0.546 0.764
Pd: 0.155 0.454 0.236

Summary:
Uncorrected energy   -6.32 eV/atom
Formation energy (no corrections)   -0.73 eV/atom
Calculated volume   21.78 Å³/atom
Space-group type   C2/m
Spin magnetization   1.476 μB per cell

---

No. 4
# Ce2SiPd

Ce2SiPd after structural relaxation (GGA-PBE, the Alexandria database).

Cell: 4.188 5.947 8.201 Å, 111.78 90.00 90.00°
Fractional positions:
Ce: 0.750 0.206 0.414
Ce: 0.250 0.794 0.586
Ce: 0.250 0.780 0.066
Ce: 0.750 0.220 0.934
Si: 0.750 0.656 0.294
Si: 0.250 0.344 0.706
Pd: 0.250 0.371 0.217
Pd: 0.750 0.629 0.783

Summary:
Uncorrected energy   -6.27 eV/atom
Formation energy (no corrections)   -0.65 eV/atom
Calculated volume   23.71 Å³/atom
Space-group type   P2_1/m
Spin magnetization   3.645 μB per cell

---

No. 5
# Ce2Si4Pd5

Ce2Si4Pd5 after structural relaxation (GGA-PBE, the Alexandria database).

Cell: 5.824 5.663 7.614 Å, 78.66 67.51 59.06°
Fractional positions:
Ce: 0.860 0.000 0.281
Ce: 0.140 0.000 0.719
Si: 0.508 0.265 0.718
Si: 0.492 0.735 0.282
Si: 0.227 0.265 0.282
Si: 0.773 0.735 0.718
Pd: 0.500 0.000 0.000
Pd: 0.000 0.500 0.000
Pd: 0.500 0.500 0.000
Pd: 0.250 0.500 0.500
Pd: 0.750 0.500 0.500

Summary:
Uncorrected energy   -6.12 eV/atom
Formation energy (no corrections)   -0.71 eV/atom
Calculated volume   18.09 Å³/atom
Space-group type   Fmmm
Spin magnetization   1.519 μB per cell

---

No. 6
# Ce2Si2Pd3

Ce2Si2Pd3 after structural relaxation (GGA-PBE, the Alexandria database).

Cell: 4.018 5.575 6.959 Å, 112.60 90.00 111.12°
Fractional positions:
Ce: 0.862 0.723 0.229
Ce: 0.138 0.277 0.771
Si: 0.853 0.705 0.781
Si: 0.147 0.295 0.219
Pd: 0.500 0.000 0.000
Pd: 0.628 0.255 0.437
Pd: 0.372 0.745 0.563

Summary:
Uncorrected energy   -6.29 eV/atom
E above lowest polymorph   0.0 meV per atom
Formation energy (no corrections)   -0.82 eV/atom
Calculated volume   18.93 Å³/atom
Space-group type   C2/m
Spin magnetization   1.072 μB per cell

---

No. 7
# Ce2SiPd

Ce2SiPd after structural relaxation (GGA-PBE, the Alexandria database).

Cell: 3.072 3.072 10.465 Å, 81.56 81.56 60.00°
Fractional positions:
Si: 0.500 0.500 0.500
Pd: 0.000 0.000 0.000
Ce: 0.086 0.086 0.741
Ce: 0.914 0.914 0.259

Summary:
Uncorrected energy   -5.74 eV/atom
Formation energy (no corrections)   -0.12 eV/atom
Calculated volume   21.08 Å³/atom
Space-group type   R-3m
Spin magnetization   0.000 μB per cell

---

No. 8
# CeSi2Pd

CeSi2Pd after structural relaxation (GGA-PBE, the Alexandria database).

Cell: 4.017 7.213 10.150 Å, 90.00 90.00 90.00°
Fractional positions:
Ce: 0.750 0.640 0.629
Ce: 0.250 0.860 0.129
Ce: 0.250 0.360 0.371
Ce: 0.750 0.140 0.871
Si: 0.750 0.223 0.574
Si: 0.250 0.277 0.074
Si: 0.250 0.777 0.426
Si: 0.750 0.723 0.926
Si: 0.750 0.661 0.319
Si: 0.250 0.839 0.819
Si: 0.250 0.339 0.681
Si: 0.750 0.161 0.181
Pd: 0.750 0.995 0.389
Pd: 0.250 0.505 0.889
Pd: 0.250 0.005 0.611
Pd: 0.750 0.495 0.111

Summary:
Uncorrected energy   -6.34 eV/atom
Formation energy (no corrections)   -0.85 eV/atom
Calculated volume   18.38 Å³/atom
Space-group type   Pnma
Spin magnetization   0.892 μB per cell

---

No. 9
# Ce3Si2Pd7

Ce3Si2Pd7 after structural relaxation (GGA-PBE, the Alexandria database).

Cell: 5.590 5.590 8.862 Å, 71.62 71.62 60.00°
Fractional positions:
Ce: 0.000 0.000 0.000
Ce: 0.856 0.856 0.431
Ce: 0.144 0.144 0.569
Si: 0.668 0.668 0.997
Si: 0.332 0.332 0.003
Pd: 0.500 0.500 0.500
Pd: 0.926 0.425 0.225
Pd: 0.425 0.926 0.225
Pd: 0.425 0.425 0.225
Pd: 0.074 0.575 0.775
Pd: 0.575 0.575 0.775
Pd: 0.575 0.074 0.775

Summary:
Uncorrected energy   -6.14 eV/atom
Formation energy (no corrections)   -0.72 eV/atom
Calculated volume   18.61 Å³/atom
Space-group type   R-3m
Spin magnetization   3.156 μB per cell

---

No. 10
# Ce2Si3Pd2

Ce2Si3Pd2 after structural relaxation (GGA-PBE, the Alexandria database).

Cell: 4.243 5.491 6.517 Å, 108.85 90.00 112.73°
Fractional positions:
Ce: 0.845 0.691 0.212
Ce: 0.155 0.309 0.788
Si: 0.500 0.000 0.000
Si: 0.595 0.190 0.435
Si: 0.405 0.810 0.565
Pd: 0.853 0.706 0.724
Pd: 0.147 0.294 0.276

Summary:
Uncorrected energy   -6.21 eV/atom
E above lowest polymorph   144.5 meV per atom
Formation energy (no corrections)   -0.71 eV/atom
Calculated volume   18.74 Å³/atom
Space-group type   C2/m
Spin magnetization   0.000 μB per cell

---

No. 11
# CeSiPd4

CeSiPd4 after structural relaxation (GGA-PBE, the Alexandria database).

Cell: 3.889 6.950 7.758 Å, 90.00 90.00 90.00°
Fractional positions:
Ce: 0.000 0.634 0.750
Ce: 0.000 0.366 0.250
Si: 0.000 0.206 0.750
Si: 0.000 0.794 0.250
Pd: 0.000 0.000 0.500
Pd: 0.000 0.000 0.000
Pd: 0.500 0.951 0.750
Pd: 0.500 0.049 0.250
Pd: 0.500 0.693 0.061
Pd: 0.500 0.307 0.939
Pd: 0.500 0.693 0.439
Pd: 0.500 0.307 0.561

Summary:
Uncorrected energy   -6.05 eV/atom
Formation energy (no corrections)   -0.70 eV/atom
Calculated volume   17.47 Å³/atom
Space-group type   Pmma
Spin magnetization   1.491 μB per cell

---

No. 12
# CeSiPd

CeSiPd after structural relaxation (GGA-PBE, the Alexandria database).

Cell: 5.783 7.899 10.689 Å, 88.12 90.00 90.00°
Fractional positions:
Ce: 0.363 0.963 0.139
Ce: 0.637 0.037 0.861
Ce: 0.863 0.537 0.861
Ce: 0.137 0.463 0.139
Ce: 0.869 0.824 0.369
Ce: 0.131 0.176 0.631
Ce: 0.369 0.676 0.631
Ce: 0.631 0.324 0.369
Si: 0.863 0.536 0.575
Si: 0.137 0.464 0.425
Si: 0.363 0.964 0.425
Si: 0.637 0.036 0.575
Si: 0.651 0.617 0.150
Si: 0.349 0.383 0.850
Si: 0.151 0.883 0.850
Si: 0.849 0.117 0.150
Pd: 0.904 0.831 0.051
Pd: 0.096 0.169 0.949
Pd: 0.404 0.669 0.949
Pd: 0.596 0.331 0.051
Pd: 0.890 0.819 0.670
Pd: 0.110 0.181 0.330
Pd: 0.390 0.681 0.330
Pd: 0.610 0.319 0.670

Summary:
Uncorrected energy   -6.39 eV/atom
Formation energy (no corrections)   -0.88 eV/atom
Calculated volume   20.33 Å³/atom
Space-group type   P2_1/c
Spin magnetization   5.026 μB per cell

---

No. 13
# CeSiPd

CeSiPd after structural relaxation (GGA-PBE, the Alexandria database).

Cell: 3.916 3.916 5.044 Å, 112.84 112.84 90.00°
Fractional positions:
Si: 0.965 0.965 0.930
Ce: 0.621 0.621 0.242
Pd: 0.264 0.264 0.528

Summary:
Uncorrected energy   -5.87 eV/atom
Formation energy (no corrections)   -0.35 eV/atom
Calculated volume   21.55 Å³/atom
Space-group type   I4mm
Spin magnetization   0.529 μB per cell

---

No. 14
# CeSi2Pd2

CeSi2Pd2 after structural relaxation (GGA-PBE, the Alexandria database).

Cell: 5.833 5.833 5.833 Å, 137.83 137.83 61.16°
Fractional positions:
Ce: 0.000 0.000 0.000
Si: 0.617 0.617 0.000
Si: 0.383 0.383 0.000
Pd: 0.250 0.750 0.500
Pd: 0.750 0.250 0.500

Summary:
Uncorrected energy   -6.34 eV/atom
Formation energy (no corrections)   -0.90 eV/atom
Calculated volume   17.69 Å³/atom
Space-group type   I4/mmm
Spin magnetization   0.484 μB per cell

---

No. 15
# Ce2Si2Pd3

Ce2Si2Pd3 after structural relaxation (GGA-PBE, the Alexandria database).

Cell: 4.125 6.831 9.948 Å, 90.00 101.97 90.00°
Fractional positions:
Ce: 0.158 0.250 0.315
Ce: 0.842 0.750 0.685
Ce: 0.940 0.250 0.879
Ce: 0.060 0.750 0.121
Si: 0.688 0.938 0.377
Si: 0.312 0.062 0.623
Si: 0.312 0.438 0.623
Si: 0.688 0.562 0.377
Pd: 0.223 0.750 0.446
Pd: 0.777 0.250 0.554
Pd: 0.567 0.451 0.133
Pd: 0.433 0.549 0.867
Pd: 0.433 0.951 0.867
Pd: 0.567 0.049 0.133

Summary:
Uncorrected energy   -6.22 eV/atom
E above lowest polymorph   76.3 meV per atom
Formation energy (no corrections)   -0.74 eV/atom
Calculated volume   19.59 Å³/atom
Space-group type   Cmcm
Spin magnetization   2.254 μB per cell

---

No. 16
# Ce3Si2Pd2

Ce3Si2Pd2 after structural relaxation (GGA-PBE, the Alexandria database).

Cell: 5.676 8.047 13.169 Å, 90.00 90.00 90.00°
Fractional positions:
Ce: 0.135 0.608 0.104
Ce: 0.865 0.392 0.604
Ce: 0.865 0.108 0.396
Ce: 0.135 0.892 0.896
Ce: 0.865 0.392 0.896
Ce: 0.135 0.608 0.396
Ce: 0.135 0.892 0.604
Ce: 0.865 0.108 0.104
Ce: 0.350 0.254 0.250
Ce: 0.650 0.746 0.750
Ce: 0.650 0.754 0.250
Ce: 0.350 0.246 0.750
Si: 0.332 0.250 0.000
Si: 0.668 0.750 0.500
Si: 0.668 0.750 0.000
Si: 0.332 0.250 0.500
Si: 0.853 0.398 0.250
Si: 0.147 0.602 0.750
Si: 0.147 0.898 0.250
Si: 0.853 0.102 0.750
Pd: 0.620 0.460 0.092
Pd: 0.380 0.540 0.592
Pd: 0.380 0.960 0.408
Pd: 0.620 0.040 0.908
Pd: 0.380 0.540 0.908
Pd: 0.620 0.460 0.408
Pd: 0.620 0.040 0.592
Pd: 0.380 0.960 0.092

Summary:
Uncorrected energy   -6.34 eV/atom
Formation energy (no corrections)   -0.76 eV/atom
Calculated volume   21.48 Å³/atom
Space-group type   Pbcm
Spin magnetization   11.918 μB per cell

---

No. 17
# Ce3Si2Pd

Ce3Si2Pd after structural relaxation (GGA-PBE, the Alexandria database).

Cell: 8.626 9.883 7.713 Å, 90.00 125.42 90.00°
Fractional positions:
Ce: 0.287 0.862 0.005
Ce: 0.213 0.362 0.495
Ce: 0.713 0.138 0.995
Ce: 0.787 0.638 0.505
Ce: 0.406 0.435 0.186
Ce: 0.094 0.935 0.314
Ce: 0.594 0.565 0.814
Ce: 0.906 0.065 0.686
Ce: 0.971 0.664 0.290
Ce: 0.529 0.164 0.210
Ce: 0.029 0.336 0.710
Ce: 0.471 0.836 0.790
Si: 0.720 0.898 0.266
Si: 0.780 0.398 0.234
Si: 0.280 0.102 0.734
Si: 0.220 0.602 0.766
Si: 0.352 0.679 0.375
Si: 0.148 0.179 0.125
Si: 0.648 0.321 0.625
Si: 0.852 0.821 0.875
Pd: 0.576 0.876 0.482
Pd: 0.924 0.376 0.018
Pd: 0.424 0.124 0.518
Pd: 0.076 0.624 0.982

Summary:
Uncorrected energy   -6.22 eV/atom
Formation energy (no corrections)   -0.58 eV/atom
Calculated volume   22.33 Å³/atom
Space-group type   P2_1/c
Spin magnetization   7.949 μB per cell

---

No. 18
# Ce3Si2Pd4

Ce3Si2Pd4 after structural relaxation (GGA-PBE, the Alexandria database).

Cell: 4.381 5.721 8.593 Å, 112.04 90.00 112.51°
Fractional positions:
Ce: 0.638 0.277 0.683
Ce: 0.000 0.000 0.000
Ce: 0.362 0.723 0.317
Si: 0.650 0.300 0.317
Si: 0.350 0.700 0.683
Pd: 0.715 0.429 0.073
Pd: 0.285 0.571 0.927
Pd: 0.900 0.801 0.584
Pd: 0.100 0.199 0.416

Summary:
Uncorrected energy   -6.31 eV/atom
Formation energy (no corrections)   -0.82 eV/atom
Calculated volume   20.20 Å³/atom
Space-group type   C2/m
Spin magnetization   0.875 μB per cell

---

No. 19
# Ce5SiPd

Ce5SiPd after structural relaxation (GGA-PBE, the Alexandria database).

Cell: 5.834 5.834 10.300 Å, 84.94 84.94 88.09°
Fractional positions:
Ce: 0.011 0.408 0.166
Ce: 0.260 0.430 0.517
Ce: 0.408 0.011 0.666
Ce: 0.152 0.848 0.250
Ce: 0.570 0.740 0.983
Ce: 0.430 0.260 0.017
Ce: 0.848 0.152 0.750
Ce: 0.592 0.989 0.334
Ce: 0.740 0.570 0.483
Ce: 0.989 0.592 0.834
Si: 0.511 0.489 0.250
Si: 0.489 0.511 0.750
Pd: 0.000 0.000 0.000
Pd: 0.000 0.000 0.500

Summary:
Uncorrected energy   -6.02 eV/atom
Formation energy (no corrections)   -0.27 eV/atom
Calculated volume   24.84 Å³/atom
Space-group type   C2/c
Spin magnetization   3.708 μB per cell

---

No. 20
# Ce2SiPd

Ce2SiPd after structural relaxation (GGA-PBE, the Alexandria database).

Cell: 4.329 4.389 4.389 Å, 90.00 90.00 90.00°
Fractional positions:
Si: 0.500 0.000 0.000
Pd: 0.500 0.500 0.500
Ce: 0.000 0.000 0.500
Ce: 0.000 0.500 0.000

Summary:
Uncorrected energy   -6.18 eV/atom
Formation energy (no corrections)   -0.56 eV/atom
Calculated volume   20.85 Å³/atom
Space-group type   P4/mmm
Spin magnetization   0.001 μB per cell

---

No. 21
# Ce2SiPd

Ce2SiPd after structural relaxation (GGA-PBE, the Alexandria database).

Cell: 6.116 6.139 6.139 Å, 68.82 60.12 60.12°
Fractional positions:
Ce: 0.215 0.285 0.785
Ce: 0.285 0.715 0.215
Ce: 0.785 0.715 0.215
Ce: 0.715 0.285 0.785
Si: 0.750 0.200 0.300
Si: 0.250 0.800 0.700
Pd: 0.250 0.186 0.314
Pd: 0.750 0.814 0.686

Summary:
Uncorrected energy   -6.23 eV/atom
Formation energy (no corrections)   -0.61 eV/atom
Calculated volume   21.42 Å³/atom
Space-group type   Imma
Spin magnetization   2.867 μB per cell